Entry from the Alexandria database: a geometry-optimized Nd8Os2Pt structure (GGA-PBE).

Calculated values
space group	Cm, No. 8
ΔE_f	-0.191	eV per atom
E	-68.740	eV for the cell shown
density of states at the Fermi level	1.02	states/eV/atom

Unit cell a=6.308 b=7.744 c=7.744 alpha=113.06 beta=100.75 gamma=100.75
Sites, in units of the cell vectors:
Nd  0.588  0.349  0.082
Nd  0.588  0.082  0.349
Nd  0.182  0.364  0.364
Nd  0.987  0.212  0.787
Nd  0.987  0.787  0.212
Nd  0.788  0.643  0.643
Nd  0.376  0.924  0.659
Nd  0.376  0.659  0.924
Os  0.483  0.694  0.315
Os  0.483  0.315  0.694
Pt  0.161  0.005  0.005


Entry from the Alexandria database: a geometry-optimized YAg2Pd2 structure (GGA-PBE).

Calculated values
space group	I4/mmm, No. 139
ΔE_f	-0.196	eV per atom
E	-23.534	eV for the cell shown
density of states at the Fermi level	0.83	states/eV/atom

Unit cell a=4.060 b=4.060 c=6.779 alpha=72.57 beta=72.57 gamma=90.00
Sites, in units of the cell vectors:
Y  0.000  0.000  0.000
Pd  0.750  0.250  0.500
Pd  0.250  0.750  0.500
Ag  0.394  0.394  0.212
Ag  0.606  0.606  0.788


Entry from the Alexandria database: a geometry-optimized MgIr3W structure (GGA-PBE).

Calculated values
space group	Pm-3m, No. 221
ΔE_f	1.200	eV per atom
E	-35.131	eV for the cell shown
density of states at the Fermi level	0.95	states/eV/atom

Unit cell a=4.767 b=4.767 c=4.767 alpha=90.00 beta=90.00 gamma=90.00
Sites, in units of the cell vectors:
Mg  0.500  0.500  0.500
Ir  0.000  0.500  0.000
Ir  0.000  0.000  0.500
Ir  0.500  0.000  0.000
W  0.000  0.000  0.000


Entry from the Alexandria database: a geometry-optimized GdTm structure (GGA-PBE).

Calculated values
space group	P4/nmm, No. 129
ΔE_f	0.034	eV per atom
E	-36.967	eV for the cell shown
density of states at the Fermi level	1.71	states/eV/atom

Unit cell a=3.530 b=10.030 c=3.531 alpha=90.00 beta=90.00 gamma=90.02
Site moments in Bohr magnetons follow the coordinates.
Sites, in units of the cell vectors:
Gd  0.250  0.629  0.250  -7.16
Gd  0.750  0.371  0.750  -7.16
Tm  0.250  0.121  0.250  0.07
Tm  0.750  0.879  0.750  0.07